1.
AsWSe2Cl, single point on PBEsol structure, DFT SCAN; E_form (uncorrected) = 1.764 eV per atom; space group = P4/mmm, No. 123; V = 104.2 Å³ per cell
1.0
4.661 0.000 0.000
0.000 4.661 0.000
0.000 0.000 4.796
As W Se Cl
1 1 2 1
direct
0.000 0.000 0.000
0.500 0.500 0.000
0.000 0.500 0.500
0.500 0.000 0.500
0.000 0.000 0.500

2.
BeHF2, single point on PBEsol structure, DFT SCAN; space group = R-3m, No. 166; total energy = -62.70 eV/cell; V = 130.1 Å³ per cell
1.0
4.531 0.000 0.000
-2.266 3.924 0.000
0.000 0.000 7.316
Be H F
3 3 6
direct
0.000 0.000 0.000
0.333 0.667 0.667
0.667 0.333 0.333
0.000 0.000 0.500
0.333 0.667 0.167
0.667 0.333 0.833
0.000 0.000 0.194
0.000 0.000 0.806
0.333 0.667 0.473
0.333 0.667 0.861
0.667 0.333 0.139
0.667 0.333 0.527

3.
ScSiRh2, single point on PBEsol structure, DFT SCAN; E_form (uncorrected) = -0.947 eV per atom; space group = P4/mmm, No. 123; V = 57.2 Å³ per cell
1.0
3.100 0.000 0.000
0.000 3.100 0.000
0.000 0.000 5.956
Sc Si Rh
1 1 2
direct
0.000 0.000 0.000
0.000 0.000 0.500
0.500 0.500 0.274
0.500 0.500 0.726

4.
KCdIn, single point on PBEsol structure, DFT SCAN; space group = I4mm, No. 107; formation energy = -76.3 meV/atom; V = 188.5 Å³ per cell
1.0
3.916 0.000 0.000
0.000 3.916 0.000
0.000 0.000 12.293
K Cd In
2 2 2
direct
0.000 0.000 0.000
0.500 0.500 0.500
0.000 0.000 0.705
0.500 0.500 0.205
0.000 0.000 0.296
0.500 0.500 0.796

5.
Li2CaMg, single point on PBEsol structure, DFT SCAN; space group = Imm2, No. 44; formation energy = 7.0 meV/atom; V = 201.8 Å³ per cell
1.0
3.962 0.000 0.000
0.000 5.112 0.000
0.000 0.000 9.965
Li Ca Mg
4 2 2
direct
0.000 0.000 0.000
0.000 0.500 0.281
0.500 0.000 0.781
0.500 0.500 0.500
0.000 0.000 0.514
0.500 0.500 0.014
0.000 0.500 0.742
0.500 0.000 0.242

6.
LiCa2La, single point on PBEsol structure, DFT SCAN; space group = R-3m, No. 166; formation energy = 96.3 meV/atom; V = 415.8 Å³ per cell
1.0
3.689 0.000 0.000
-1.844 3.195 0.000
0.000 0.000 35.279
Li Ca La
3 6 3
direct
0.000 0.000 0.000
0.333 0.667 0.667
0.667 0.333 0.333
0.000 0.000 0.254
0.000 0.000 0.746
0.333 0.667 0.412
0.333 0.667 0.921
0.667 0.333 0.079
0.667 0.333 0.588
0.000 0.000 0.500
0.333 0.667 0.167
0.667 0.333 0.833

7.
NbCoBr2, single point on PBEsol structure, DFT SCAN; E_form (uncorrected) = 0.590 eV per atom; space group = Fm-3m, No. 225; V = 257.0 Å³ per cell
1.0
6.358 0.000 0.000
0.000 6.358 0.000
0.000 0.000 6.358
Nb Co Br
4 4 8
direct
0.000 0.000 0.000
0.000 0.500 0.500
0.500 0.000 0.500
0.500 0.500 0.000
0.000 0.000 0.500
0.000 0.500 0.000
0.500 0.000 0.000
0.500 0.500 0.500
0.250 0.250 0.250
0.250 0.250 0.750
0.250 0.750 0.250
0.250 0.750 0.750
0.750 0.250 0.250
0.750 0.250 0.750
0.750 0.750 0.250
0.750 0.750 0.750

8.
NiH2Os, single point on PBEsol structure, DFT SCAN; space group = Fm-3m, No. 225; total energy = -365.60 eV/cell; V = 122.7 Å³ per cell
1.0
4.969 0.000 0.000
0.000 4.969 0.000
0.000 0.000 4.969
Ni H Os
4 8 4
direct
0.000 0.000 0.000
0.000 0.500 0.500
0.500 0.000 0.500
0.500 0.500 0.000
0.250 0.250 0.250
0.250 0.250 0.750
0.250 0.750 0.250
0.250 0.750 0.750
0.750 0.250 0.250
0.750 0.250 0.750
0.750 0.750 0.250
0.750 0.750 0.750
0.000 0.000 0.500
0.000 0.500 0.000
0.500 0.000 0.000
0.500 0.500 0.500

9.
BaReTe2, single point on PBEsol structure, DFT SCAN; E_form (uncorrected) = -0.249 eV per atom; space group = Amm2, No. 38; V = 263.7 Å³ per cell
1.0
4.744 0.000 0.000
0.000 4.451 0.000
0.000 0.000 12.488
Ba Re Te
2 2 4
direct
0.000 0.000 0.000
0.000 0.500 0.500
0.500 0.000 0.790
0.500 0.500 0.290
0.000 0.000 0.713
0.000 0.500 0.213
0.500 0.000 0.399
0.500 0.500 0.899

10.
K3ScF6, single point on PBEsol structure, DFT SCAN; E_form (uncorrected) = -3.478 eV per atom; space group = Fm-3m, No. 225; V = 178.5 Å³ per cell
1.0
0.000 4.469 4.469
4.469 0.000 4.469
4.469 4.469 0.000
K Sc F
3 1 6
direct
0.000 0.000 0.000
0.250 0.250 0.250
0.750 0.750 0.750
0.500 0.500 0.500
0.276 0.276 0.724
0.276 0.724 0.276
0.276 0.724 0.724
0.724 0.276 0.276
0.724 0.276 0.724
0.724 0.724 0.276

11.
Li2RuF, single point on PBEsol structure, DFT SCAN; E_form (uncorrected) = 0.021 eV per atom; space group = Fm-3m, No. 225; V = 204.1 Å³ per cell
1.0
5.888 0.000 0.000
0.000 5.888 0.000
0.000 0.000 5.888
Li Ru F
8 4 4
direct
0.250 0.250 0.250
0.250 0.250 0.750
0.250 0.750 0.250
0.250 0.750 0.750
0.750 0.250 0.250
0.750 0.250 0.750
0.750 0.750 0.250
0.750 0.750 0.750
0.000 0.000 0.000
0.000 0.500 0.500
0.500 0.000 0.500
0.500 0.500 0.000
0.000 0.000 0.500
0.000 0.500 0.000
0.500 0.000 0.000
0.500 0.500 0.500

12.
CdCu2As2, single point on PBEsol structure, DFT SCAN; space group = I4/mmm, No. 139; formation energy = 180.3 meV/atom; V = 168.7 Å³ per cell
1.0
3.825 0.000 0.000
0.000 3.825 0.000
0.000 0.000 11.534
Cd Cu As
2 4 4
direct
0.000 0.000 0.000
0.500 0.500 0.500
0.000 0.000 0.397
0.000 0.000 0.603
0.500 0.500 0.103
0.500 0.500 0.897
0.000 0.500 0.250
0.000 0.500 0.750
0.500 0.000 0.250
0.500 0.000 0.750

13.
Na2TiPdI, single point on PBEsol structure, DFT SCAN; E_form (uncorrected) = -0.040 eV per atom; space group = P4/mmm, No. 123; V = 142.4 Å³ per cell
1.0
5.439 0.000 0.000
0.000 5.439 0.000
0.000 0.000 4.813
Na Ti Pd I
2 1 1 1
direct
0.000 0.500 0.000
0.500 0.000 0.000
0.000 0.000 0.500
0.000 0.000 0.000
0.500 0.500 0.500

14.
BaRu2Pt, single point on PBEsol structure, DFT SCAN; space group = P4mm, No. 99; formation energy = 396.3 meV/atom; V = 76.5 Å³ per cell
1.0
3.120 0.000 0.000
0.000 3.120 0.000
0.000 0.000 7.852
Ba Ru Pt
1 2 1
direct
0.000 0.000 0.000
0.000 0.000 0.514
0.500 0.500 0.668
0.500 0.500 0.305

15.
MgNi3Sb, single point on PBEsol structure, DFT SCAN; E_form (uncorrected) = 0.650 eV per atom; space group = Pm-3m, No. 221; V = 94.9 Å³ per cell
1.0
4.562 0.000 0.000
0.000 4.562 0.000
0.000 0.000 4.562
Mg Ni Sb
1 3 1
direct
0.000 0.000 0.000
0.000 0.500 0.500
0.500 0.000 0.500
0.500 0.500 0.000
0.500 0.500 0.500

16.
CaScSe2Br, single point on PBEsol structure, DFT SCAN; E_form (uncorrected) = -0.745 eV per atom; space group = P4/mmm, No. 123; V = 146.3 Å³ per cell
1.0
5.342 0.000 0.000
0.000 5.342 0.000
0.000 0.000 5.126
Ca Sc Se Br
1 1 2 1
direct
0.000 0.000 0.000
0.500 0.500 0.500
0.000 0.500 0.000
0.500 0.000 0.000
0.000 0.000 0.500

17.
Ta2TeRh, single point on PBEsol structure, DFT SCAN; E_form (uncorrected) = -0.010 eV per atom; space group = R3m, No. 160; V = 225.2 Å³ per cell
1.0
3.209 0.000 0.000
-1.604 2.779 0.000
0.000 0.000 25.261
Ta Te Rh
6 3 3
direct
0.000 0.000 0.000
0.000 0.000 0.247
0.333 0.667 0.667
0.333 0.667 0.914
0.667 0.333 0.333
0.667 0.333 0.580
0.000 0.000 0.749
0.333 0.667 0.415
0.667 0.333 0.082
0.000 0.000 0.509
0.333 0.667 0.176
0.667 0.333 0.843

18.
ScCd2Pt2, single point on PBEsol structure, DFT SCAN; space group = I4/mmm, No. 139; formation energy = -602.3 meV/atom; V = 191.3 Å³ per cell
1.0
3.778 0.000 0.000
0.000 3.778 0.000
0.000 0.000 13.402
Sc Cd Pt
2 4 4
direct
0.000 0.000 0.000
0.500 0.500 0.500
0.000 0.500 0.250
0.000 0.500 0.750
0.500 0.000 0.250
0.500 0.000 0.750
0.000 0.000 0.405
0.000 0.000 0.595
0.500 0.500 0.095
0.500 0.500 0.905

19.
MnTePbW2, single point on PBEsol structure, DFT SCAN; E_form (uncorrected) = 2.321 eV per atom; space group = P4/mmm, No. 123; V = 135.2 Å³ per cell
1.0
4.884 0.000 0.000
0.000 4.884 0.000
0.000 0.000 5.666
Mn Te Pb W
1 1 1 2
direct
0.000 0.000 0.000
0.500 0.500 0.500
0.500 0.500 0.000
0.000 0.500 0.500
0.500 0.000 0.500

20.
Tl2CdCu, single point on PBEsol structure, DFT SCAN; space group = I4/mmm, No. 139; formation energy = 310.6 meV/atom; V = 174.8 Å³ per cell
1.0
4.664 0.000 0.000
0.000 4.664 0.000
0.000 0.000 8.035
Tl Cd Cu
4 2 2
direct
0.000 0.500 0.250
0.000 0.500 0.750
0.500 0.000 0.250
0.500 0.000 0.750
0.000 0.000 0.000
0.500 0.500 0.500
0.000 0.000 0.500
0.500 0.500 0.000

21.
Tc2TeC, single point on PBEsol structure, DFT SCAN; E_form (uncorrected) = 1.184 eV per atom; space group = Fm-3m, No. 225; V = 217.6 Å³ per cell
1.0
6.015 0.000 0.000
0.000 6.015 0.000
0.000 0.000 6.015
Tc Te C
8 4 4
direct
0.250 0.250 0.250
0.250 0.250 0.750
0.250 0.750 0.250
0.250 0.750 0.750
0.750 0.250 0.250
0.750 0.250 0.750
0.750 0.750 0.250
0.750 0.750 0.750
0.000 0.000 0.000
0.000 0.500 0.500
0.500 0.000 0.500
0.500 0.500 0.000
0.000 0.000 0.500
0.000 0.500 0.000
0.500 0.000 0.000
0.500 0.500 0.500

22.
K3Se2O8, single point on PBEsol structure, DFT SCAN; E_form (uncorrected) = -1.209 eV per atom; space group = P-3m1, No. 164; V = 275.4 Å³ per cell
1.0
6.472 0.000 0.000
-3.236 5.605 0.000
0.000 0.000 7.593
K Se O
3 2 8
direct
0.000 0.000 0.000
0.333 0.667 0.188
0.667 0.333 0.812
0.333 0.667 0.739
0.667 0.333 0.261
0.195 0.390 0.820
0.195 0.805 0.820
0.333 0.667 0.522
0.390 0.195 0.180
0.610 0.805 0.820
0.667 0.333 0.478
0.805 0.195 0.180
0.805 0.610 0.180

23.
Sc4SiRh, single point on PBEsol structure, DFT SCAN; E_form (uncorrected) = 0.286 eV per atom; space group = F-43m, No. 216; V = 110.2 Å³ per cell
1.0
0.000 3.805 3.805
3.805 0.000 3.805
3.805 3.805 0.000
Sc Si Rh
4 1 1
direct
0.125 0.125 0.125
0.125 0.125 0.626
0.125 0.626 0.125
0.626 0.125 0.125
0.500 0.500 0.500
0.750 0.750 0.750

24.
KIr2Se2, single point on PBEsol structure, DFT SCAN; E_form (uncorrected) = -0.212 eV per atom; space group = I4/mmm, No. 139; V = 209.2 Å³ per cell
1.0
3.980 0.000 0.000
0.000 3.980 0.000
0.000 0.000 13.211
K Ir Se
2 4 4
direct
0.000 0.000 0.000
0.500 0.500 0.500
0.000 0.500 0.250
0.000 0.500 0.750
0.500 0.000 0.250
0.500 0.000 0.750
0.000 0.000 0.362
0.000 0.000 0.638
0.500 0.500 0.138
0.500 0.500 0.862

25.
LaAsIr2, single point on PBEsol structure, DFT SCAN; space group = P4mm, No. 99; formation energy = -229.7 meV/atom; V = 73.1 Å³ per cell
1.0
3.196 0.000 0.000
0.000 3.196 0.000
0.000 0.000 7.153
La As Ir
1 1 2
direct
0.000 0.000 0.000
0.500 0.500 0.330
0.000 0.000 0.486
0.500 0.500 0.733

26.
ReHg3S, single point on PBEsol structure, DFT SCAN; E_form (uncorrected) = 1.615 eV per atom; space group = Pm-3m, No. 221; V = 124.4 Å³ per cell
1.0
4.992 0.000 0.000
0.000 4.992 0.000
0.000 0.000 4.992
Re Hg S
1 3 1
direct
0.000 0.000 0.000
0.000 0.500 0.500
0.500 0.000 0.500
0.500 0.500 0.000
0.500 0.500 0.500

27.
FeSiTc2, single point on PBEsol structure, DFT SCAN; E_form (uncorrected) = -0.022 eV per atom; space group = R3m, No. 160; V = 152.3 Å³ per cell
1.0
2.694 0.000 0.000
-1.347 2.333 0.000
0.000 0.000 24.240
Fe Si Tc
3 3 6
direct
0.000 0.000 0.000
0.333 0.667 0.667
0.667 0.333 0.333
0.000 0.000 0.741
0.333 0.667 0.408
0.667 0.333 0.074
0.000 0.000 0.248
0.000 0.000 0.493
0.333 0.667 0.160
0.333 0.667 0.915
0.667 0.333 0.582
0.667 0.333 0.827

28.
Re2RhF, single point on PBEsol structure, DFT SCAN; E_form (uncorrected) = 0.319 eV per atom; space group = Fm-3m, No. 225; V = 210.7 Å³ per cell
1.0
5.951 0.000 0.000
0.000 5.951 0.000
0.000 0.000 5.951
Re Rh F
8 4 4
direct
0.250 0.250 0.250
0.250 0.250 0.750
0.250 0.750 0.250
0.250 0.750 0.750
0.750 0.250 0.250
0.750 0.250 0.750
0.750 0.750 0.250
0.750 0.750 0.750
0.000 0.000 0.000
0.000 0.500 0.500
0.500 0.000 0.500
0.500 0.500 0.000
0.000 0.000 0.500
0.000 0.500 0.000
0.500 0.000 0.000
0.500 0.500 0.500

29.
TlIr2W, single point on PBEsol structure, DFT SCAN; space group = Cmmm, No. 65; formation energy = 444.8 meV/atom; V = 127.8 Å³ per cell
1.0
5.813 0.000 0.000
0.000 7.662 0.000
0.000 0.000 2.870
Tl Ir W
2 4 2
direct
0.000 0.000 0.000
0.500 0.500 0.000
0.250 0.250 0.500
0.250 0.750 0.500
0.750 0.250 0.500
0.750 0.750 0.500
0.000 0.500 0.000
0.500 0.000 0.000